[1]
First-principles (PBE) data for a relaxed structure of NdAl4Au12, as listed in the Alexandria database.

Cell: 7.741 7.741 7.741 Å, 109.47 109.47 109.47°
Fractional coordinates of all 17 atoms:
Au  0.499  0.157  0.342
Au  0.186  0.843  0.342
Au  0.342  0.499  0.157
Au  0.157  0.658  0.814
Au  0.658  0.501  0.843
Au  0.843  0.658  0.501
Au  0.342  0.186  0.843
Au  0.501  0.843  0.658
Au  0.843  0.342  0.186
Au  0.157  0.342  0.499
Au  0.658  0.814  0.157
Au  0.814  0.157  0.658
Al  0.500  0.500  0.500
Al  0.000  0.000  0.500
Al  0.000  0.500  0.000
Al  0.500  0.000  0.000
Nd  0.000  0.000  0.000

- Calculated formation energy: -0.21 eV/atom
- N(E_F): 5.74 states/eV/f.u.

---

[2]
First-principles (PBE) data for a relaxed structure of NdAl2Au9, as listed in the Alexandria database.

Cell: 7.006 8.830 8.830 Å, 80.94 66.63 66.63°
Fractional coordinates of all 24 atoms:
Al  0.375  0.750  0.750
Al  0.875  0.250  0.250
Al  0.875  0.750  0.250
Al  0.875  0.250  0.750
Au  0.608  0.066  0.310
Au  0.608  0.310  0.066
Au  0.424  0.434  0.810
Au  0.326  0.066  0.690
Au  0.082  0.934  0.310
Au  0.983  0.934  0.690
Au  0.668  0.190  0.566
Au  0.983  0.690  0.934
Au  0.142  0.190  0.434
Au  0.767  0.566  0.810
Au  0.082  0.310  0.934
Au  0.750  0.500  0.500
Au  0.326  0.690  0.066
Au  0.767  0.810  0.566
Au  0.668  0.566  0.190
Au  0.000  0.000  0.000
Au  0.142  0.434  0.190
Au  0.424  0.810  0.434
Nd  0.250  0.500  0.500
Nd  0.500  0.000  0.000

- Calculated formation energy: -0.36 eV/atom
- N(E_F): 5.58 states/eV/f.u.

---

[3]
First-principles (PBE) data for a relaxed structure of Nd2Al3Au2, as listed in the Alexandria database.

Cell: 4.447 5.866 6.911 Å, 112.68 90.00 112.27°
Fractional coordinates of all 7 atoms:
Al  0.500  0.000  0.000
Al  0.398  0.796  0.571
Al  0.602  0.204  0.429
Nd  0.850  0.700  0.218
Nd  0.150  0.300  0.782
Au  0.149  0.298  0.251
Au  0.851  0.702  0.749

- Calculated formation energy: -0.65 eV/atom
- N(E_F): 4.03 states/eV/f.u.

---

[4]
First-principles (PBE) data for a relaxed structure of Nd2AlAu3, as listed in the Alexandria database.

Cell: 5.931 5.931 8.933 Å, 104.55 104.55 104.08°
Fractional coordinates of all 12 atoms:
Au  0.826  0.826  0.651
Au  0.174  0.174  0.349
Au  0.350  0.823  0.173
Au  0.650  0.177  0.827
Au  0.823  0.350  0.173
Au  0.177  0.650  0.827
Nd  0.250  0.750  0.500
Nd  0.241  0.241  0.000
Nd  0.759  0.759  0.000
Nd  0.750  0.250  0.500
Al  0.334  0.334  0.667
Al  0.666  0.666  0.333

- Calculated formation energy: -0.75 eV/atom
- N(E_F): 3.86 states/eV/f.u.

---

[5]
First-principles (PBE) data for a relaxed structure of NdAl3Au6, as listed in the Alexandria database.

Cell: 7.201 6.504 7.167 Å, 105.94 117.58 119.66°
Fractional coordinates of all 10 atoms:
Au  0.593  0.522  0.865
Au  0.901  0.095  0.394
Au  0.219  0.912  0.699
Au  0.741  0.374  0.574
Au  0.419  0.421  0.169
Au  0.149  0.650  0.171
Nd  0.698  0.933  0.719
Al  0.194  0.094  0.294
Al  0.312  0.646  0.905
Al  0.774  0.353  0.210

- Calculated formation energy: -0.48 eV/atom
- N(E_F): 3.52 states/eV/f.u.

---

[6]
First-principles (PBE) data for a relaxed structure of Nd2Al12Au7, as listed in the Alexandria database.

Cell: 4.140 10.519 10.519 Å, 120.00 90.00 90.00°
Fractional coordinates of all 21 atoms:
Al  0.260  0.733  0.850
Al  0.748  0.053  0.435
Al  0.260  0.150  0.883
Al  0.740  0.850  0.117
Al  0.252  0.947  0.565
Al  0.260  0.117  0.267
Al  0.740  0.267  0.150
Al  0.748  0.382  0.947
Al  0.252  0.618  0.053
Al  0.740  0.883  0.733
Al  0.252  0.435  0.382
Al  0.748  0.565  0.618
Nd  0.737  0.667  0.333
Nd  0.263  0.333  0.667
Au  0.763  0.590  0.882
Au  0.500  0.000  0.000
Au  0.763  0.118  0.709
Au  0.237  0.410  0.118
Au  0.237  0.709  0.590
Au  0.763  0.291  0.410
Au  0.237  0.882  0.291

- Calculated formation energy: -0.52 eV/atom
- N(E_F): 8.13 states/eV/f.u.

---

[7]
First-principles (PBE) data for a relaxed structure of Nd3Al3Au, as listed in the Alexandria database.

Cell: 4.600 6.012 14.173 Å, 86.42 80.66 67.51°
Fractional coordinates of all 14 atoms:
Al  0.105  0.869  0.921
Al  0.865  0.733  0.536
Al  0.038  0.156  0.768
Al  0.895  0.131  0.079
Al  0.135  0.267  0.464
Al  0.962  0.844  0.232
Nd  0.394  0.288  0.925
Nd  0.256  0.256  0.231
Nd  0.470  0.682  0.378
Nd  0.530  0.318  0.622
Nd  0.606  0.712  0.075
Nd  0.744  0.744  0.769
Au  0.248  0.898  0.605
Au  0.752  0.102  0.395

- Calculated formation energy: -0.51 eV/atom
- N(E_F): 6.23 states/eV/f.u.

---

[8]
First-principles (PBE) data for a relaxed structure of Nd2Al3Au4, as listed in the Alexandria database.

Cell: 5.946 7.831 8.472 Å, 90.00 110.54 90.00°
Fractional coordinates of all 18 atoms:
Au  0.317  0.474  0.633
Au  0.808  0.250  0.117
Au  0.817  0.026  0.633
Au  0.308  0.250  0.117
Au  0.692  0.750  0.883
Au  0.183  0.974  0.367
Au  0.683  0.526  0.367
Au  0.192  0.750  0.883
Nd  0.608  0.906  0.215
Nd  0.892  0.406  0.785
Nd  0.392  0.094  0.785
Nd  0.108  0.594  0.215
Al  0.522  0.750  0.545
Al  0.478  0.250  0.455
Al  0.000  0.000  0.000
Al  0.500  0.500  0.000
Al  0.022  0.750  0.545
Al  0.978  0.250  0.455

- Calculated formation energy: -0.68 eV/atom
- N(E_F): 5.25 states/eV/f.u.

---

[9]
First-principles (PBE) data for a relaxed structure of NdAlAu2, as listed in the Alexandria database.

Cell: 3.310 3.310 7.461 Å, 90.00 90.00 90.00°
Fractional coordinates of all 4 atoms:
Al  0.500  0.500  0.000
Nd  0.500  0.500  0.500
Au  0.000  0.000  0.204
Au  0.000  0.000  0.796

- Calculated formation energy: -0.54 eV/atom
- N(E_F): 2.33 states/eV/f.u.

---

[10]
First-principles (PBE) data for a relaxed structure of NdAl2Au8, as listed in the Alexandria database.

Cell: 5.681 5.681 7.994 Å, 90.00 90.00 90.00°
Fractional coordinates of all 11 atoms:
Au  0.755  0.245  0.213
Au  0.245  0.755  0.213
Au  0.245  0.755  0.787
Au  0.755  0.755  0.787
Au  0.755  0.755  0.213
Au  0.245  0.245  0.787
Au  0.245  0.245  0.213
Au  0.755  0.245  0.787
Al  0.500  0.000  0.000
Al  0.000  0.500  0.000
Nd  0.500  0.500  0.500

- Calculated formation energy: -0.21 eV/atom
- N(E_F): 3.54 states/eV/f.u.

---

[11]
First-principles (PBE) data for a relaxed structure of Nd3Al7Au4, as listed in the Alexandria database.

Cell: 4.403 8.450 8.523 Å, 70.90 75.03 74.90°
Fractional coordinates of all 14 atoms:
Au  0.655  0.471  0.219
Au  0.345  0.529  0.781
Au  0.871  0.904  0.354
Au  0.129  0.096  0.646
Al  0.000  0.000  0.000
Al  0.849  0.379  0.923
Al  0.500  0.211  0.789
Al  0.151  0.621  0.077
Al  0.500  0.789  0.211
Al  0.675  0.185  0.466
Al  0.325  0.815  0.534
Nd  0.000  0.500  0.500
Nd  0.313  0.190  0.184
Nd  0.687  0.810  0.816

- Calculated formation energy: -0.67 eV/atom
- N(E_F): 4.31 states/eV/f.u.

---

[12]
First-principles (PBE) data for a relaxed structure of NdAlAu, as listed in the Alexandria database.

Cell: 3.836 4.587 4.587 Å, 120.00 90.00 90.00°
Fractional coordinates of all 3 atoms:
Nd  0.667  0.667  0.333
Al  0.167  0.333  0.667
Au  0.167  0.000  0.000

- Calculated formation energy: -0.70 eV/atom
- N(E_F): 3.99 states/eV/f.u.

---

[13]
First-principles (PBE) data for a relaxed structure of Nd3AlAu3, as listed in the Alexandria database.

Cell: 4.354 5.968 14.676 Å, 85.88 81.47 68.61°
Fractional coordinates of all 14 atoms:
Au  0.140  0.265  0.455
Au  0.124  0.830  0.922
Au  0.860  0.735  0.545
Au  0.033  0.173  0.762
Au  0.967  0.827  0.238
Au  0.876  0.170  0.078
Al  0.237  0.926  0.599
Al  0.763  0.074  0.401
Nd  0.747  0.738  0.768
Nd  0.523  0.340  0.614
Nd  0.599  0.721  0.080
Nd  0.477  0.660  0.386
Nd  0.253  0.262  0.232
Nd  0.401  0.279  0.920

- Calculated formation energy: -0.73 eV/atom
- N(E_F): 6.54 states/eV/f.u.

---

[14]
First-principles (PBE) data for a relaxed structure of Nd2AlAu, as listed in the Alexandria database.

Cell: 3.843 4.649 6.229 Å, 90.00 107.97 90.00°
Fractional coordinates of all 4 atoms:
Nd  0.796  0.500  0.593
Nd  0.096  0.000  0.191
Au  0.515  0.500  0.031
Al  0.377  0.000  0.754

- Calculated formation energy: -0.55 eV/atom
- N(E_F): 3.82 states/eV/f.u.

---

[15]
First-principles (PBE) data for a relaxed structure of NdAl12Au4, as listed in the Alexandria database.

Cell: 7.731 7.731 7.731 Å, 109.47 109.47 109.47°
Fractional coordinates of all 17 atoms:
Au  0.500  0.500  0.500
Au  0.000  0.500  0.000
Au  0.500  0.000  0.000
Au  0.000  0.000  0.500
Al  0.496  0.846  0.650
Al  0.154  0.650  0.804
Al  0.350  0.503  0.154
Al  0.846  0.650  0.496
Al  0.350  0.196  0.846
Al  0.650  0.496  0.846
Al  0.846  0.350  0.196
Al  0.804  0.154  0.650
Al  0.196  0.846  0.350
Al  0.650  0.804  0.154
Al  0.503  0.154  0.350
Al  0.154  0.350  0.504
Nd  0.000  0.000  0.000

- Calculated formation energy: -0.11 eV/atom
- N(E_F): 7.55 states/eV/f.u.

---

[16]
First-principles (PBE) data for a relaxed structure of NdAl4Au2, as listed in the Alexandria database.

Cell: 4.083 8.156 8.156 Å, 90.00 90.00 90.00°
Fractional coordinates of all 14 atoms:
Au  0.500  0.288  0.288
Au  0.500  0.712  0.712
Au  0.000  0.788  0.212
Au  0.000  0.212  0.788
Al  0.500  0.162  0.582
Al  0.500  0.418  0.838
Al  0.000  0.662  0.918
Al  0.000  0.918  0.662
Al  0.000  0.082  0.338
Al  0.500  0.582  0.162
Al  0.500  0.838  0.418
Al  0.000  0.338  0.082
Nd  0.000  0.500  0.500
Nd  0.500  0.000  0.000

- Calculated formation energy: -0.52 eV/atom
- N(E_F): 4.01 states/eV/f.u.

---

[17]
First-principles (PBE) data for a relaxed structure of Nd2AlAu, as listed in the Alexandria database.

Cell: 4.437 5.857 9.257 Å, 115.51 90.00 90.00°
Fractional coordinates of all 8 atoms:
Au  0.250  0.369  0.210
Au  0.750  0.631  0.790
Nd  0.250  0.781  0.573
Nd  0.250  0.799  0.077
Nd  0.750  0.201  0.923
Nd  0.750  0.219  0.427
Al  0.250  0.365  0.714
Al  0.750  0.635  0.286

- Calculated formation energy: -0.53 eV/atom
- N(E_F): 3.69 states/eV/f.u.

---

[18]
First-principles (PBE) data for a relaxed structure of NdAl4Au4, as listed in the Alexandria database.

Cell: 6.295 6.295 8.847 Å, 90.00 90.00 90.00°
Fractional coordinates of all 18 atoms:
Au  0.000  0.276  0.692
Au  0.500  0.776  0.808
Au  0.276  0.000  0.308
Au  0.224  0.500  0.192
Au  0.000  0.724  0.692
Au  0.776  0.500  0.192
Au  0.724  0.000  0.308
Au  0.500  0.224  0.808
Al  0.000  0.724  0.399
Al  0.276  0.000  0.601
Al  0.724  0.000  0.601
Al  0.776  0.500  0.899
Al  0.500  0.224  0.101
Al  0.000  0.276  0.399
Al  0.224  0.500  0.899
Al  0.500  0.776  0.101
Nd  0.500  0.500  0.500
Nd  0.000  0.000  0.000

- Calculated formation energy: -0.54 eV/atom
- N(E_F): 3.72 states/eV/f.u.

---

[19]
First-principles (PBE) data for a relaxed structure of NdAl4NiAu2, as listed in the Alexandria database.

Cell: 4.337 4.337 9.176 Å, 76.33 76.33 60.00°
Fractional coordinates of all 8 atoms:
Al  0.594  0.594  0.219
Al  0.136  0.136  0.591
Al  0.406  0.406  0.781
Al  0.864  0.864  0.409
Ni  0.500  0.500  0.500
Au  0.242  0.242  0.275
Au  0.758  0.758  0.725
Nd  0.000  0.000  0.000

- Calculated formation energy: -0.52 eV/atom
- N(E_F): 2.84 states/eV/f.u.

---

[20]
First-principles (PBE) data for a relaxed structure of Nd2Al4PdAu3, as listed in the Alexandria database.

Cell: 4.391 4.391 10.494 Å, 90.00 90.00 90.00°
Fractional coordinates of all 10 atoms:
Al  0.000  0.500  0.375
Al  0.500  0.500  0.000
Al  0.500  0.000  0.625
Al  0.000  0.000  0.000
Au  0.500  0.000  0.866
Au  0.000  0.000  0.500
Au  0.000  0.500  0.134
Nd  0.500  0.000  0.251
Nd  0.000  0.500  0.749
Pd  0.500  0.500  0.500

- Calculated formation energy: -0.78 eV/atom
- N(E_F): 6.53 states/eV/f.u.